# 1
SrCu2Rh3S8: optimized geometry, GGA-PBE.

a b c (Å): 7.306 7.306 7.316
angles (deg): 60.04 60.04 60.00
Atoms (fractional coordinates):
S (0.712, 0.260, 0.769)
S (0.726, 0.326, 0.222)
S (0.728, 0.728, 0.817)
S (0.263, 0.263, 0.212)
S (0.326, 0.726, 0.222)
S (0.260, 0.260, 0.769)
S (0.726, 0.726, 0.222)
S (0.260, 0.712, 0.769)
Sr (0.878, 0.878, 0.367)
Rh (0.500, 0.999, 0.001)
Rh (0.500, 0.500, 0.001)
Rh (0.999, 0.500, 0.001)
Cu (0.497, 0.497, 0.509)
Cu (0.120, 0.120, 0.640)

Values from the calculation:
- Fermi-level density of states (states/eV per cell) = 6.774
- size of the total moment (μB per formula unit) = 0.00
- raw total energy (eV/cell) = -71.3
- formation energy (no corrections) (eV/atom) = -0.451

***

# 2
SrCaAgPt: optimized geometry, GGA-PBE.

a b c (Å): 5.224 5.224 5.224
angles (deg): 60.00 60.00 60.00
Atoms (fractional coordinates):
Pt (0.750, 0.750, 0.750)
Ca (0.000, 0.000, 0.000)
Ag (0.250, 0.250, 0.250)
Sr (0.500, 0.500, 0.500)

Values from the calculation:
- Fermi-level density of states (states/eV per cell) = 2.756
- polymorph energy (0 for the lowest one) (eV per formula unit) = 0.17
- size of the total moment (μB per formula unit) = 0.00
- ΔH_f (0 K) (eV/atom) = -0.55
- raw total energy (eV/cell) = -14.8

***

# 3
HgRu: optimized geometry, GGA-PBE.

a b c (Å): 2.915 2.885 8.741
angles (deg): 90.00 100.13 90.00
Atoms (fractional coordinates):
Hg (0.928, 0.250, 0.340)
Hg (0.072, 0.750, 0.660)
Ru (0.702, 0.250, 0.909)
Ru (0.298, 0.750, 0.091)

Values from the calculation:
- Fermi-level density of states (states/eV per cell) = 3.606
- size of the total moment (μB per formula unit) = 0.00
- ΔH_f (0 K) (eV/atom) = 0.29
- raw total energy (eV/cell) = -18.0

***

# 4
TbInSn2I8: optimized geometry, GGA-PBE.

a b c (Å): 7.765 7.311 9.534
angles (deg): 89.96 89.98 88.94
Atoms (fractional coordinates):
Sn (0.500, 0.500, 0.252)
Sn (0.500, 0.500, 0.748)
I (0.357, 0.271, 0.500)
I (0.157, 0.754, 0.227)
I (0.843, 0.246, 0.773)
I (0.643, 0.729, 0.500)
I (0.157, 0.755, 0.773)
I (0.675, 0.762, 0.000)
I (0.843, 0.245, 0.227)
I (0.325, 0.238, 0.000)
In (0.000, 0.000, 0.500)
Tb (0.000, 0.000, 0.000)

Values from the calculation:
- Fermi-level density of states (states/eV per cell) = 0.000
- size of the total moment (μB per formula unit) = 0.00
- raw total energy (eV/cell) = -36.8
- formation energy (no corrections) (eV/atom) = -0.755

***

# 5
Nb4PbCl2: optimized geometry, GGA-PBE.

a b c (Å): 5.265 5.265 7.577
angles (deg): 69.67 69.67 90.00
Last column: magnetic moment on the atom in μB.
Atoms (fractional coordinates):
Nb (0.214, 0.214, 0.572)  2.26
Nb (0.500, 0.000, 0.000)  -1.10
Nb (0.786, 0.786, 0.428)  2.26
Nb (0.000, 0.500, 0.000)  -1.10
Cl (0.603, 0.603, 0.793)  0.01
Cl (0.397, 0.397, 0.207)  0.01
Pb (0.000, 0.000, 0.000)  -0.01

Values from the calculation:
- Fermi-level density of states (states/eV per cell) = 7.430
- size of the total moment (μB per formula unit) = 3.35
- raw total energy (eV/cell) = -37.5
- formation energy (no corrections) (eV/atom) = 1.455

***

# 6
TiV3C3: optimized geometry, GGA-PBE.

a b c (Å): 5.898 5.898 6.146
angles (deg): 61.33 61.33 60.00
Atoms (fractional coordinates):
V (0.618, 0.874, 0.338)
V (0.170, 0.618, 0.338)
V (0.382, 0.126, 0.662)
V (0.830, 0.382, 0.662)
V (0.874, 0.170, 0.338)
V (0.126, 0.830, 0.662)
C (0.923, 0.530, 0.256)
C (0.709, 0.077, 0.744)
C (0.291, 0.923, 0.256)
C (0.530, 0.291, 0.256)
C (0.077, 0.470, 0.744)
C (0.470, 0.709, 0.744)
Ti (0.671, 0.671, 0.988)
Ti (0.329, 0.329, 0.012)

Values from the calculation:
- Fermi-level density of states (states/eV per cell) = 8.546
- size of the total moment (μB per formula unit) = 0.00
- ΔH_f (0 K) (eV/atom) = -0.24
- raw total energy (eV/cell) = -129.2

***

# 7
LiY2SiO: optimized geometry, GGA-PBE.

a b c (Å): 4.688 4.688 4.024
angles (deg): 90.00 90.00 90.00
Atoms (fractional coordinates):
Si (0.500, 0.500, 0.500)
Li (0.000, 0.000, 0.500)
Y (0.000, 0.500, 0.000)
Y (0.500, 0.000, 0.000)
O (0.000, 0.000, 0.000)

Values from the calculation:
- Fermi-level density of states (states/eV per cell) = 2.047
- size of the total moment (μB per formula unit) = 0.00
- raw total energy (eV/cell) = -32.8
- formation energy (no corrections) (eV/atom) = -1.510

***

# 8
KLa2I: optimized geometry, GGA-PBE.

a b c (Å): 9.806 9.806 7.739
angles (deg): 50.69 50.69 90.00
Atoms (fractional coordinates):
La (0.070, 0.625, 0.250)
La (0.680, 0.125, 0.250)
La (0.875, 0.930, 0.750)
La (0.375, 0.320, 0.750)
I (0.000, 0.000, 0.000)
I (0.750, 0.250, 0.500)
K (0.250, 0.750, 0.500)
K (0.500, 0.500, 0.000)

Values from the calculation:
- Fermi-level density of states (states/eV per cell) = 11.818
- polymorph energy (0 for the lowest one) (eV per formula unit) = 0.00
- size of the total moment (μB per formula unit) = 0.00
- raw total energy (eV/cell) = -25.2
- formation energy (no corrections) (eV/atom) = -0.030

***

# 9
TaTe4W: optimized geometry, GGA-PBE.

a b c (Å): 3.374 8.128 6.542
angles (deg): 102.47 90.00 101.95
Atoms (fractional coordinates):
Te (0.598, 0.196, 0.875)
Te (0.140, 0.280, 0.388)
Te (0.899, 0.798, 0.635)
Te (0.363, 0.725, 0.101)
W (0.995, 0.990, 0.068)
Ta (0.505, 0.011, 0.434)

Values from the calculation:
- Fermi-level density of states (states/eV per cell) = 1.717
- polymorph energy (0 for the lowest one) (eV per formula unit) = 0.00
- size of the total moment (μB per formula unit) = 0.00
- raw total energy (eV/cell) = -38.7
- formation energy (no corrections) (eV/atom) = -0.225

***

# 10
YPb4S5: optimized geometry, GGA-PBE.

a b c (Å): 5.930 7.319 7.319
angles (deg): 80.56 66.10 66.10
Atoms (fractional coordinates):
S (0.275, 0.825, 0.628)
S (0.902, 0.372, 0.825)
S (0.501, 0.000, 0.000)
S (0.100, 0.628, 0.175)
S (0.727, 0.175, 0.372)
Pb (0.398, 0.405, 0.801)
Pb (0.199, 0.199, 0.405)
Pb (0.604, 0.595, 0.199)
Pb (0.803, 0.801, 0.595)
Y (0.000, 0.000, 0.000)

Values from the calculation:
- Fermi-level density of states (states/eV per cell) = 3.245
- size of the total moment (μB per formula unit) = 0.00
- raw total energy (eV/cell) = -50.1
- formation energy (no corrections) (eV/atom) = -0.816

***

# 11
NdGa3NiRh: optimized geometry, GGA-PBE.

a b c (Å): 5.892 6.468 6.737
angles (deg): 118.69 90.00 90.00
Atoms (fractional coordinates):
Ga (0.250, 0.170, 0.341)
Ga (0.500, 0.306, 0.000)
Ga (0.000, 0.694, 0.000)
Ga (0.750, 0.830, 0.659)
Ga (0.000, 0.306, 0.000)
Ga (0.500, 0.694, 0.000)
Rh (0.250, 0.963, 0.926)
Rh (0.750, 0.037, 0.074)
Ni (0.250, 0.367, 0.733)
Ni (0.750, 0.633, 0.267)
Nd (0.250, 0.733, 0.465)
Nd (0.750, 0.267, 0.535)

Values from the calculation:
- Fermi-level density of states (states/eV per cell) = 5.955
- size of the total moment (μB per formula unit) = 0.00
- ΔH_f (0 K) (eV/atom) = -0.44
- raw total energy (eV/cell) = -59.2

***

# 12
TaMnCr: optimized geometry, GGA-PBE.

a b c (Å): 4.046 4.046 4.046
angles (deg): 60.00 60.00 60.00
Last column: magnetic moment on the atom in μB.
Atoms (fractional coordinates):
Cr (0.500, 0.500, 0.500)  0.94
Ta (0.000, 0.000, 0.000)  -0.04
Mn (0.750, 0.750, 0.750)  -0.23

Values from the calculation:
- Fermi-level density of states (states/eV per cell) = 3.923
- polymorph energy (0 for the lowest one) (eV per formula unit) = 2.20
- size of the total moment (μB per formula unit) = 0.72
- ΔH_f (0 K) (eV/atom) = 0.57
- raw total energy (eV/cell) = -28.9